First-principles (PBE-GGA) data for crystalline SrLi2AlPb at its relaxed geometry, as listed in Alexandria via LeMat-Bulk.

a = 5.151 Å, b = 5.665 Å, c = 5.151 Å
α = 90.00°, β = 90.00°, γ = 90.00°
Fractional positions:
Pb  0.000  0.000  0.000
Sr  0.500  0.500  0.500
Al  0.000  0.500  0.000
Li  0.000  0.000  0.500
Li  0.500  0.000  0.000

* calculated formation energy: 0.041 eV/atom
* volume: 150.3 Å³ per cell
* symmetry: P4/mmm
* VASP energy: -12.75 eV/cell
* spin magnetization: 0.0 μB/cell

---

First-principles (PBE-GGA) data for crystalline Nd2YSn2 at its relaxed geometry, as listed in Alexandria via LeMat-Bulk.

a = 5.099 Å, b = 6.583 Å, c = 9.605 Å
α = 90.00°, β = 105.39°, γ = 90.00°
Fractional positions:
Nd  0.000  0.727  0.000
Nd  0.807  0.478  0.614
Nd  0.193  0.978  0.386
Nd  0.000  0.227  0.000
Y  0.397  0.976  0.793
Y  0.603  0.476  0.207
Sn  0.424  0.476  0.849
Sn  0.811  0.978  0.621
Sn  0.189  0.478  0.379
Sn  0.576  0.976  0.151

* energy relative to the lowest polymorph listed for this composition: 0.083 eV/atom
* calculated formation energy: -0.647 eV/atom
* volume: 310.8 Å³ per cell
* symmetry: Cmc2_1
* VASP energy: -54.48 eV/cell
* spin magnetization: 0.0 μB/cell

---

First-principles (PBE-GGA) data for crystalline Be2Cu2Ni5Ge at its relaxed geometry, as listed in Alexandria via LeMat-Bulk.

a = 3.249 Å, b = 8.194 Å, c = 8.194 Å
α = 90.00°, β = 90.00°, γ = 90.00°
Fractional positions:
Be  0.000  0.122  0.622
Be  0.000  0.878  0.378
Be  0.000  0.622  0.878
Be  0.000  0.378  0.122
Cu  0.000  0.672  0.172
Cu  0.000  0.328  0.828
Cu  0.000  0.172  0.328
Cu  0.000  0.828  0.672
Ni  0.500  0.207  0.072
Ni  0.500  0.793  0.928
Ni  0.500  0.072  0.793
Ni  0.500  0.707  0.428
Ni  0.500  0.928  0.207
Ni  0.500  0.293  0.572
Ni  0.500  0.572  0.707
Ni  0.500  0.428  0.293
Ni  0.500  0.500  0.000
Ni  0.500  0.000  0.500
Ge  0.000  0.000  0.000
Ge  0.000  0.500  0.500

* calculated formation energy: -0.172 eV/atom
* volume: 218.1 Å³ per cell
* symmetry: P4/mbm
* VASP energy: -101.77 eV/cell
* spin magnetization: 0.0 μB/cell

---

First-principles (PBE-GGA) data for crystalline Zr4CoIr at its relaxed geometry, as listed in Alexandria via LeMat-Bulk.

a = 5.517 Å, b = 5.517 Å, c = 5.517 Å
α = 60.00°, β = 60.00°, γ = 60.00°
Site moments in Bohr magnetons follow the coordinates.
Fractional positions:
Zr  0.878  0.374  0.374  -0.04
Zr  0.374  0.374  0.878  -0.04
Zr  0.374  0.878  0.374  -0.04
Zr  0.374  0.374  0.374  -0.04
Co  0.750  0.750  0.750  1.70
Ir  0.000  0.000  0.000  0.01

* energy relative to the lowest polymorph listed for this composition: 1.018 eV/atom
* calculated formation energy: 0.565 eV/atom
* volume: 118.7 Å³ per cell
* symmetry: F-43m
* VASP energy: -46.77 eV/cell
* spin magnetization: 1.3 μB/cell

---

First-principles (PBE-GGA) data for crystalline Pm4Nd4Sm3 at its relaxed geometry, as listed in Alexandria via LeMat-Bulk.

a = 5.820 Å, b = 6.776 Å, c = 10.838 Å
α = 90.00°, β = 90.00°, γ = 115.43°
Fractional positions:
Pm  0.755  0.511  0.792
Pm  0.755  0.511  0.208
Pm  0.893  0.785  0.500
Pm  0.957  0.915  0.000
Nd  0.621  0.241  0.500
Nd  0.549  0.098  0.000
Nd  0.102  0.204  0.704
Nd  0.102  0.204  0.296
Sm  0.405  0.809  0.298
Sm  0.405  0.809  0.702
Sm  0.254  0.509  0.000

* energy relative to the lowest polymorph listed for this composition: 0.015 eV/atom
* calculated formation energy: 0.143 eV/atom
* volume: 385.9 Å³ per cell
* symmetry: Amm2
* VASP energy: -50.66 eV/cell
* spin magnetization: 0.0 μB/cell

---

First-principles (PBE-GGA) data for crystalline KBaNaCl4 at its relaxed geometry, as listed in Alexandria via LeMat-Bulk.

a = 7.193 Å, b = 7.353 Å, c = 8.806 Å
α = 90.00°, β = 114.11°, γ = 90.00°
Fractional positions:
K  0.610  0.750  0.221
K  0.390  0.250  0.779
Ba  0.123  0.250  0.246
Ba  0.877  0.750  0.754
Na  0.251  0.750  0.502
Na  0.749  0.250  0.498
Cl  0.934  0.250  0.868
Cl  0.424  0.750  0.847
Cl  0.066  0.750  0.132
Cl  0.576  0.250  0.153
Cl  0.500  0.500  0.500
Cl  0.000  0.000  0.500
Cl  0.500  0.000  0.500
Cl  0.000  0.500  0.500

* volume: 425.1 Å³ per cell
* symmetry: Cmcm
* VASP energy: -52.49 eV/cell
* spin magnetization: 0.1 μB/cell
* formation energy (no corrections): -14.517 eV/f.u.